No. 1
SiTe2Au after structural relaxation. Source: Alexandria via LeMat-Bulk, functional PBE.

a = 3.9103 Å, b = 4.7766 Å, c = 5.6204 Å
α = 79.40°, β = 90.00°, γ = 90.00°
Last column: nearest neighbours and their distance in Å.
Element x y z (fractional)
Au  0.0000  0.4968  0.5786  2 Si 2.52
Te  0.5000  0.2480  0.3050  1 Si 2.62, 2 Au 2.88
Si  0.5000  0.8012  0.6548  2 Au 2.52, 3 Te 2.62-2.79
Te  0.0000  0.9540  0.9617  2 Si 2.79, 1 Au 3.05

Properties
E	-3.662	eV per atom
SG	No. 6
formation energy (no corrections)	0.0839	eV per atom


No. 2
SmTm2Tl after structural relaxation. Source: Alexandria via LeMat-Bulk, functional PBE.

a = 4.7882 Å, b = 4.6605 Å, c = 11.0951 Å
α = 102.15°, β = 90.00°, γ = 90.00°
Last column: nearest neighbours and their distance in Å.
Element x y z (fractional)
Sm  0.7500  0.6921  0.3843  5 Tl 3.16-3.40
Sm  0.2500  0.3080  0.6157  5 Tl 3.16-3.40
Tm  0.7500  0.0639  0.1281  2 Tl 3.21, 6 Tm 3.34-3.50
Tm  0.2500  0.9361  0.8719  2 Tl 3.21, 6 Tm 3.34-3.50
Tl  0.2500  0.1625  0.3248  5 Sm 3.16-3.40, 4 Tm 3.21-3.28
Tl  0.7500  0.8375  0.6752  5 Sm 3.16-3.40, 4 Tm 3.21-3.28
Tm  0.7500  0.4440  0.8875  2 Tl 3.27-3.28, 8 Tm 3.34-3.50
Tm  0.2500  0.5560  0.1125  2 Tl 3.27-3.28, 8 Tm 3.34-3.50

Properties
E	-4.164	eV per atom
SG	No. 63
energy above the lowest structure with this stoichiometry	15	meV/atom


No. 3
U2GePt6 after structural relaxation. Source: Alexandria via LeMat-Bulk, functional PBE.

a = 5.6180 Å, b = 5.5730 Å, c = 6.3157 Å
α = 78.52°, β = 90.00°, γ = 120.27°
Last column: nearest neighbours and their distance in Å.
Element x y z (fractional)
Pt  0.1275  0.2549  0.2994  1 Ge 2.48, 2 Pt 2.72
Pt  0.8725  0.7451  0.7006  1 Ge 2.48, 2 Pt 2.72
Pt  0.1250  0.7384  0.3164  1 Ge 2.55, 3 Pt 2.72-2.83
Pt  0.8750  0.2616  0.6836  1 Ge 2.55, 3 Pt 2.72-2.83
U  0.6453  0.2907  0.1343  9 Pt 2.98-3.19, 3 Ge 3.32-3.33
Pt  0.3866  0.2616  0.6836  1 Ge 2.55, 3 Pt 2.72-2.83
Pt  0.6134  0.7384  0.3164  1 Ge 2.55, 3 Pt 2.72-2.83
Ge  0.0000  0.0000  0.0000  6 Pt 2.48-2.55
U  0.3547  0.7093  0.8657  9 Pt 2.98-3.19, 3 Ge 3.32-3.33

Properties
E	-7.680	eV per atom
SG	No. 12
energy above the lowest structure with this stoichiometry	23	meV/atom


No. 4
Tl2N2Cl after structural relaxation. Source: Alexandria via LeMat-Bulk, functional PBE.

a = 3.7715 Å, b = 3.7297 Å, c = 13.4036 Å
α = 69.18°, β = 81.91°, γ = 59.63°
Last column: nearest neighbours and their distance in Å.
Element x y z (fractional)
Tl  0.3657  0.0889  0.1798  3 Cl 3.10-3.13
N  0.4833  0.5779  0.4555  1 N 1.12
N  0.5167  0.4221  0.5445  1 N 1.12
Cl  0.0000  0.0000  0.0000  6 Tl 3.10-3.13
Tl  0.6343  0.9111  0.8202  3 Cl 3.10-3.13

Properties
E	-4.908	eV per atom
SG	No. 12
formation energy (no corrections)	-0.2618	eV per atom